PBE Tb2ZnPd6, optimized geometry; final energy = -5.127 eV per atom; calculated density = 9602 kg/m³; energy relative to the elements = -0.49 eV per atom
1.0
6.7628 -3.8531 0.0000
6.7628 3.8531 0.0000
-0.9040 0.0000 3.3907
Tb Zn Pd
2 1 6
direct
0.1520 0.1520 0.1541
0.8480 0.8480 0.8459
0.5000 0.5000 0.5000
0.1287 0.5396 0.3335
0.2624 0.7376 0.0000
0.4604 0.8713 0.6665
0.5396 0.1287 0.3335
0.7376 0.2624 0.0000
0.8713 0.4604 0.6665